[1]
DFT (GGA-PBE) results for a relaxed Li2CePr2Sn2 crystal.

abc: 4.9078 4.9078 9.5271
angles: 75.07 75.07 60.00
Positions (direct):
Ce (0.0000, 0.0000, 0.0000)
Pr (0.1277, 0.1277, 0.6168)
Li (0.6023, 0.6023, 0.1932)
Li (0.3977, 0.3977, 0.8068)
Pr (0.8723, 0.8723, 0.3832)
Sn (0.2657, 0.2657, 0.2029)
Sn (0.7343, 0.7343, 0.7971)

Results
- Raw total energy: -4.329 eV per atom
- Crystal system: trigonal
- V: 190 Å³/cell
- Size of the total moment: 1.20 μB/f.u.


[2]
DFT (GGA-PBE) results for a relaxed Li2Ce2PrSn2 crystal.

abc: 4.6494 4.6494 9.7089
angles: 76.15 76.15 60.00
Positions (direct):
Pr (0.0000, 0.0000, 0.0000)
Li (0.4139, 0.4139, 0.7584)
Ce (0.1442, 0.1442, 0.5675)
Ce (0.8558, 0.8558, 0.4325)
Sn (0.7371, 0.7371, 0.7886)
Li (0.5861, 0.5861, 0.2416)
Sn (0.2629, 0.2629, 0.2114)

Results
- Raw total energy: -4.508 eV per atom
- Crystal system: trigonal
- V: 175 Å³/cell
- Size of the total moment: 2.13 μB/f.u.


[3]
DFT (GGA-PBE) results for a relaxed LiCePrTc crystal.

abc: 5.0439 5.0439 5.0439
angles: 60.00 60.00 60.00
Positions (direct):
Ce (0.7500, 0.7500, 0.7500)
Tc (0.0000, 0.0000, 0.0000)
Li (0.5000, 0.5000, 0.5000)
Pr (0.2500, 0.2500, 0.2500)

Results
- Raw total energy: -5.656 eV per atom
- Crystal system: cubic
- V: 91 Å³/cell
- Size of the total moment: 0.37 μB/f.u.


> Look up the raw total energy of the first one.

-4.329 eV per atom